# MnF4 | the Alexandria database | GGA+U | optimized geometry
# Electronic total energy (eV/cell): -74.28
# Crystal system: triclinic
data_MnF4
_cell_length_a 5.124
_cell_length_b 5.377
_cell_length_c 7.187
_cell_angle_alpha 84.17
_cell_angle_beta 87.79
_cell_angle_gamma 88.47
_symmetry_space_group_name_H-M 'P -1'
_symmetry_Int_Tables_number 2
loop_
_symmetry_equiv_pos_as_xyz
'x,y,z'
'-x,-y,-z'
loop_
_atom_site_label
_atom_site_type_symbol
_atom_site_fract_x
_atom_site_fract_y
_atom_site_fract_z
Mn1 Mn 0.000 0.000 0.000
Mn2 Mn 0.000 0.000 0.500
Mn3 Mn 0.500 0.500 0.000
F1 F 0.120 0.308 0.437
F2 F 0.127 0.009 0.749
F3 F 0.196 0.691 0.064
F4 F 0.308 0.872 0.428
F5 F 0.314 0.206 0.058
F6 F 0.400 0.514 0.764